{"formula": "KVF2", "functional": "PBE+U", "state": "optimized geometry", "magmom_total_mub_per_cell": 3.28, "final_energy_ev_per_atom": -4.889, "lattice_angstrom": [[1.6459, 7.0075, 1.6832], [4.2641, 5.0933, 3.2439], [4.4609, 5.8890, -0.2608]], "species": ["K", "V", "F", "F"], "frac_coords": [[0.5000, 0.5000, 0.5000], [0.0000, 0.0000, 0.0000], [0.9067, 0.9067, 0.9067], [0.0933, 0.0933, 0.0933]]}